# HoPaP (GGA-PBE, relaxed)
data_HoPaP
_cell_length_a 3.7224
_cell_length_b 3.7224
_cell_length_c 6.4537
_cell_angle_alpha 90.00
_cell_angle_beta 90.00
_cell_angle_gamma 120.00
_space_group_name_H-M_alt 'P 3 m 1'
_space_group_IT_number 156
loop_
_space_group_symop_operation_xyz
'x,y,z'
'-y,x-y,z'
'-x+y,-x,z'
'-y,-x,z'
'-x+y,y,z'
'x,x-y,z'
loop_
_atom_site_label
_atom_site_type_symbol
_atom_site_fract_x
_atom_site_fract_y
_atom_site_fract_z
_atom_site_occupancy
Ho1 Ho 0.0000 0.0000 0.0000 1
Pa1 Pa 0.6667 0.3333 0.4714 1
P1 P 0.3333 0.6667 0.7380 1
# * ΔH_f (0 K): -0.639 eV/atom
# * crystal system: trigonal
# * uncorrected energy: -7.13 eV/atom

***

# Er4Ag3Hg2 (GGA-PBE, relaxed)
data_Er4Ag3Hg2
_cell_length_a 9.4877
_cell_length_b 4.8872
_cell_length_c 9.2649
_cell_angle_alpha 90.00
_cell_angle_beta 99.50
_cell_angle_gamma 90.00
_space_group_name_H-M_alt 'C 1 2/m 1'
_space_group_IT_number 12
loop_
_space_group_symop_operation_xyz
'x,y,z'
'-x,-y,-z'
'-x,y,-z'
'x,-y,z'
'x+1/2,y+1/2,z'
'-x+1/2,-y+1/2,-z'
'-x+1/2,y+1/2,-z'
'x+1/2,-y+1/2,z'
loop_
_atom_site_label
_atom_site_type_symbol
_atom_site_fract_x
_atom_site_fract_y
_atom_site_fract_z
_atom_site_occupancy
Er1 Er 0.0450 0.0000 0.3334 1
Er2 Er 0.1499 0.5000 0.8933 1
Ag1 Ag 0.0000 0.0000 0.0000 1
Ag2 Ag 0.1452 0.5000 0.5567 1
Hg1 Hg 0.2149 0.5000 0.2434 1
# * ΔH_f (0 K): -0.308 eV/atom
# * crystal system: monoclinic
# * uncorrected energy: -3.35 eV/atom